# V2Pt3, relaxed, DFT PBE
data_V2Pt3
_cell_length_a 9.2821
_cell_length_b 3.9673
_cell_length_c 8.7769
_cell_angle_alpha 90.00
_cell_angle_beta 90.00
_cell_angle_gamma 90.00
_symmetry_space_group_name_H-M 'P n m a'
_symmetry_Int_Tables_number 62
_symmetry_space_group_name_Hall '-P 2ac 2n'
loop_
_atom_site_label
_atom_site_type_symbol
_atom_site_fract_x
_atom_site_fract_y
_atom_site_fract_z
V1 V 0.0477 0.2500 0.2095
V2 V 0.2241 0.2500 0.4353
Pt1 Pt 0.0170 0.7500 0.3826
Pt2 Pt 0.0849 0.2500 0.9221
Pt3 Pt 0.1970 0.7500 0.6354
# Energy of formation from the pure elements   -270 meV/atom
# Total moment   0.201 μB per atom
# Excess energy over the best structure of this formula in the dataset   6.51 kcal/mol of atoms
# Total DFT energy (no corrections)   -7.54 eV per atom